# 1
DFT (PBE) results for an optimized crystal structure of CsLaSn3.

crystal system	cubic
symmetry	Pm-3m

Lattice parameters (Å, degrees): 5.934 5.934 5.934 90.00 90.00 90.00
Fractional coordinates of all 5 atoms:
Cs (0.000, 0.000, 0.000)
Sn (0.500, 0.000, 0.000)
La (0.500, 0.500, 0.500)
Sn (0.000, 0.500, 0.000)
Sn (0.000, 0.000, 0.500)

---

# 2
DFT (PBE) results for an optimized crystal structure of CsLaSn3.

crystal system	cubic
symmetry	Pm-3m

Lattice parameters (Å, degrees): 6.176 6.176 6.176 90.00 90.00 90.00
Fractional coordinates of all 5 atoms:
Sn (0.500, 0.000, 0.000)
Sn (0.000, 0.000, 0.500)
Sn (0.000, 0.500, 0.000)
Cs (0.500, 0.500, 0.500)
La (0.000, 0.000, 0.000)

---

# 3
DFT (PBE) results for an optimized crystal structure of Cs2LaSn2.

crystal system	tetragonal
symmetry	I4/mmm

Lattice parameters (Å, degrees): 4.827 4.827 9.340 75.03 75.03 90.00
Fractional coordinates of all 5 atoms:
Sn (0.420, 0.420, 0.160)
Cs (0.750, 0.250, 0.500)
Cs (0.250, 0.750, 0.500)
Sn (0.580, 0.580, 0.840)
La (0.000, 0.000, 0.000)

---

# 4
DFT (PBE) results for an optimized crystal structure of CsLa3Sn.

crystal system	cubic
symmetry	Pm-3m

Lattice parameters (Å, degrees): 5.815 5.815 5.815 90.00 90.00 90.00
Fractional coordinates of all 5 atoms:
La (0.000, 0.000, 0.500)
Sn (0.500, 0.500, 0.500)
La (0.000, 0.500, 0.000)
Cs (0.000, 0.000, 0.000)
La (0.500, 0.000, 0.000)

---

The records above give, respectively, formation energy values of 22.51; 3.39; -1.87; 18.29 kcal/mol of atoms.
The records above give, respectively, excess energy over the best structure of this formula in the dataset values of 0.8291; 0.0000; 0.0000; 0.6029 eV/atom.
The records above give, respectively, calculated density values of 4.99; 4.43; 5.26; 5.65 g/cm³.